[1]
Density functional theory data (PBE) for a geometry-optimized IrOsW2 structure.

a = 4.4508 Å, b = 4.4508 Å, c = 4.4508 Å
α = 60.00°, β = 60.00°, γ = 60.00°
Fractional coordinates of all 4 atoms:
Ir (0.5000, 0.5000, 0.5000)
Os (0.0000, 0.0000, 0.0000)
W (0.2500, 0.2500, 0.2500)
W (0.7500, 0.7500, 0.7500)

- Fermi-level density of states (states/eV per cell) = 7.56
- crystal system = cubic


[2]
Density functional theory data (PBE) for a geometry-optimized Al2Bi2Pb structure.

a = 8.8857 Å, b = 8.8857 Å, c = 3.5119 Å
α = 90.00°, β = 90.00°, γ = 90.00°
Fractional coordinates of all 10 atoms:
Pb (0.0000, 0.0000, 0.0000)
Pb (0.5000, 0.5000, 0.0000)
Bi (0.3467, 0.8467, 0.0000)
Bi (0.8467, 0.6533, 0.0000)
Bi (0.6533, 0.1533, 0.0000)
Bi (0.1533, 0.3467, 0.0000)
Al (0.1434, 0.6434, 0.5000)
Al (0.6434, 0.8566, 0.5000)
Al (0.8566, 0.3566, 0.5000)
Al (0.3566, 0.1434, 0.5000)

- Fermi-level density of states (states/eV per cell) = 5.65
- crystal system = tetragonal


[3]
Density functional theory data (PBE) for a geometry-optimized InGeAu2 structure.

a = 3.8803 Å, b = 3.8803 Å, c = 7.0910 Å
α = 74.12°, β = 74.12°, γ = 60.00°
Fractional coordinates of all 4 atoms:
In (0.4987, 0.4987, 0.5038)
Ge (0.6684, 0.6684, 0.9949)
Au (0.0763, 0.0763, 0.7710)
Au (0.2566, 0.2566, 0.2303)

- Fermi-level density of states (states/eV per cell) = 1.66
- crystal system = trigonal


[4]
Density functional theory data (PBE) for a geometry-optimized Na2GaBi2 structure.

a = 9.5346 Å, b = 9.5346 Å, c = 3.2537 Å
α = 90.00°, β = 90.00°, γ = 90.00°
Fractional coordinates of all 10 atoms:
Na (0.3787, 0.8787, 0.0000)
Na (0.8787, 0.6213, 0.0000)
Na (0.6213, 0.1213, 0.0000)
Na (0.1213, 0.3787, 0.0000)
Bi (0.1769, 0.6769, 0.5000)
Bi (0.6769, 0.8231, 0.5000)
Bi (0.8231, 0.3231, 0.5000)
Bi (0.3231, 0.1769, 0.5000)
Ga (0.0000, 0.0000, 0.0000)
Ga (0.5000, 0.5000, 0.0000)

- Fermi-level density of states (states/eV per cell) = 3.59
- crystal system = tetragonal


[5]
Density functional theory data (PBE) for a geometry-optimized NdHoSc2 structure.

a = 3.4502 Å, b = 3.4502 Å, c = 11.7016 Å
α = 72.89°, β = 72.89°, γ = 60.02°
Fractional coordinates of all 4 atoms:
Nd (0.5000, 0.5000, 0.0000)
Ho (0.5000, 0.5000, 0.5000)
Sc (0.9972, 0.9972, 0.2534)
Sc (0.0028, 0.0028, 0.7466)

- Fermi-level density of states (states/eV per cell) = 5.38
- crystal system = trigonal


[6]
Density functional theory data (PBE) for a geometry-optimized Y3FeP structure.

a = 5.0245 Å, b = 5.0245 Å, c = 5.0245 Å
α = 90.00°, β = 90.00°, γ = 90.00°
Fractional coordinates of all 5 atoms:
Y (0.0000, 0.5000, 0.0000)
Y (0.0000, 0.0000, 0.5000)
Y (0.5000, 0.0000, 0.0000)
P (0.5000, 0.5000, 0.5000)
Fe (0.0000, 0.0000, 0.0000)

- Fermi-level density of states (states/eV per cell) = 5.69
- crystal system = cubic


[7]
Density functional theory data (PBE) for a geometry-optimized LuMgInGa structure.

a = 5.0208 Å, b = 5.0208 Å, c = 5.0208 Å
α = 60.00°, β = 60.00°, γ = 60.00°
Fractional coordinates of all 4 atoms:
Mg (0.5000, 0.5000, 0.5000)
Lu (0.0000, 0.0000, 0.0000)
Ga (0.2500, 0.2500, 0.2500)
In (0.7500, 0.7500, 0.7500)

- Fermi-level density of states (states/eV per cell) = 1.77
- crystal system = cubic


[8]
Density functional theory data (PBE) for a geometry-optimized LiAcCdAg structure.

a = 4.8013 Å, b = 4.7889 Å, c = 6.0340 Å
α = 113.50°, β = 90.00°, γ = 120.09°
Fractional coordinates of all 4 atoms:
Li (0.1072, 0.2144, 0.9640)
Ac (0.6186, 0.2371, 0.4978)
Cd (0.8264, 0.6528, 0.1204)
Ag (0.4142, 0.8283, 0.8852)

- Fermi-level density of states (states/eV per cell) = 2.98
- crystal system = monoclinic


[9]
Density functional theory data (PBE) for a geometry-optimized MnGa2W structure.

a = 4.3347 Å, b = 4.3347 Å, c = 4.3347 Å
α = 60.00°, β = 60.00°, γ = 60.00°
Fractional coordinates of all 4 atoms:
Mn (0.0000, 0.0000, 0.0000)
Ga (0.2500, 0.2500, 0.2500)
Ga (0.7500, 0.7500, 0.7500)
W (0.5000, 0.5000, 0.5000)

- Fermi-level density of states (states/eV per cell) = 6.69
- crystal system = cubic


[10]
Density functional theory data (PBE) for a geometry-optimized LiGdP structure.

a = 3.9085 Å, b = 4.0567 Å, c = 4.0567 Å
α = 120.00°, β = 90.00°, γ = 90.00°
Site moments in Bohr magnetons follow the coordinates.
Fractional coordinates of all 3 atoms:
P (0.1669, 0.0000, 0.0000)  -0.06
Gd (0.6667, 0.3333, 0.6667)  7.32
Li (0.1664, 0.6667, 0.3333)  0.06

- Fermi-level density of states (states/eV per cell) = 2.95
- crystal system = hexagonal


[11]
Density functional theory data (PBE) for a geometry-optimized Pa2CuGe3Ir4 structure.

a = 4.1088 Å, b = 4.1088 Å, c = 10.5089 Å
α = 90.00°, β = 90.00°, γ = 90.00°
Fractional coordinates of all 10 atoms:
Pa (0.5000, 0.0000, 0.2556)
Pa (0.0000, 0.5000, 0.7444)
Cu (0.5000, 0.5000, 0.5000)
Ge (0.0000, 0.0000, 0.5000)
Ge (0.5000, 0.0000, 0.8686)
Ge (0.0000, 0.5000, 0.1314)
Ir (0.5000, 0.5000, 0.0000)
Ir (0.0000, 0.0000, 0.0000)
Ir (0.5000, 0.0000, 0.6406)
Ir (0.0000, 0.5000, 0.3594)

- Fermi-level density of states (states/eV per cell) = 10.65
- crystal system = tetragonal


[12]
Density functional theory data (PBE) for a geometry-optimized MgMnMo2 structure.

a = 9.3556 Å, b = 9.3556 Å, c = 9.3556 Å
α = 17.03°, β = 17.03°, γ = 17.03°
Fractional coordinates of all 4 atoms:
Mg (0.2500, 0.2500, 0.2500)
Mn (0.7500, 0.7500, 0.7500)
Mo (0.0084, 0.0084, 0.0084)
Mo (0.4916, 0.4916, 0.4916)

- Fermi-level density of states (states/eV per cell) = 3.15
- crystal system = trigonal


| no. | ΔE_f (eV/atom) | calculated density (g/cm3) |
| --- | --- | --- |
| 1 | 0.424 | 19.979 |
| 2 | 0.228 | 8.134 |
| 3 | -0.022 | 11.005 |
| 4 | -0.061 | 5.992 |
| 5 | 0.065 | 5.840 |
| 6 | 0.008 | 4.628 |
| 7 | -0.276 | 7.121 |
| 8 | -0.241 | 7.079 |
| 9 | 0.385 | 10.905 |
| 10 | -1.017 | 5.818 |
| 11 | -0.602 | 14.155 |
| 12 | 0.377 | 7.347 |